1.
A geometry-optimized Pm3Nd6Tm2 structure, computed with PBE-GGA.

Lattice parameters (Å, degrees): 32.688 32.688 32.688 6.38 6.38 6.38
Sites, in units of the cell vectors:
Pm1 0.000 0.000 0.000
Pm2 0.272 0.272 0.272
Pm3 0.728 0.728 0.728
Nd1 0.092 0.092 0.092
Nd2 0.182 0.182 0.182
Nd3 0.364 0.364 0.364
Nd4 0.636 0.636 0.636
Nd5 0.818 0.818 0.818
Nd6 0.908 0.908 0.908
Tm1 0.455 0.455 0.455
Tm2 0.545 0.545 0.545

Values from the calculation:
space group: R-3m, No. 166
total DFT energy (no corrections): -4.69 eV/atom
ΔE to the lowest computed polymorph: 0.000 eV/atom
mass density: 7.27 Mg/m³
ΔH_f (0 K): 0.016 eV per atom


2.
A geometry-optimized PmNd4Tm3 structure, computed with PBE-GGA.

Lattice parameters (Å, degrees): 10.208 7.200 7.198 90.00 90.00 90.00
Sites, in units of the cell vectors:
Pm1 0.000 0.000 0.000
Pm2 0.500 0.000 0.500
Nd1 0.000 0.000 0.500
Nd2 0.000 0.500 0.000
Nd3 0.250 0.252 0.250
Nd4 0.250 0.748 0.750
Nd5 0.500 0.000 0.000
Nd6 0.500 0.500 0.500
Nd7 0.750 0.252 0.250
Nd8 0.750 0.748 0.750
Tm1 0.000 0.500 0.500
Tm2 0.250 0.252 0.750
Tm3 0.250 0.748 0.250
Tm4 0.500 0.500 0.000
Tm5 0.750 0.252 0.750
Tm6 0.750 0.748 0.250

Values from the calculation:
space group: Pmna, No. 53
total DFT energy (no corrections): -4.64 eV/atom
ΔE to the lowest computed polymorph: 0.000 eV/atom
mass density: 7.71 Mg/m³
ΔH_f (0 K): 0.018 eV per atom


3.
A geometry-optimized PmNd7Tm4 structure, computed with PBE-GGA.

Lattice parameters (Å, degrees): 8.612 8.612 9.513 115.54 115.54 40.79
Sites, in units of the cell vectors:
Pm1 0.000 0.000 0.000
Nd1 0.088 0.088 0.456
Nd2 0.215 0.215 0.888
Nd3 0.218 0.218 0.248
Nd4 0.500 0.500 0.000
Nd5 0.782 0.782 0.752
Nd6 0.785 0.785 0.112
Nd7 0.912 0.912 0.544
Tm1 0.333 0.333 0.627
Tm2 0.432 0.432 0.300
Tm3 0.568 0.568 0.700
Tm4 0.667 0.667 0.373

Values from the calculation:
space group: C2/m, No. 12
total DFT energy (no corrections): -4.46 eV/atom
ΔE to the lowest computed polymorph: 0.200 eV/atom
mass density: 7.43 Mg/m³
ΔH_f (0 K): 0.205 eV per atom